Record 1
DFT (GGA-PBE) results for an optimized crystal structure of PrSmCu4.

Cell lengths 4.3444, 5.6081, 5.6081 Å; angles 79.32, 67.21, 67.21 degrees
Atoms (fractional coordinates):
Pr 0.5352 0.4648 0.4648
Sm 0.4672 0.0328 0.0328
Cu 0.1649 0.6304 0.0399
Cu 0.8340 0.8743 0.4578
Cu 0.8340 0.4578 0.8743
Cu 0.1649 0.0399 0.6304

## Properties
- Energy above the lowest structure with this stoichiometry: 0 meV/atom
- Crystal system: orthorhombic
- Formation energy: -0.213 eV per atom

---

Record 2
DFT (GGA-PBE) results for an optimized crystal structure of Tb2Sm12Th.

Cell lengths 6.7867, 6.7867, 24.9444 Å; angles 90.00, 90.00, 63.16 degrees
Atoms (fractional coordinates):
Tb 0.5000 0.0000 0.2716
Tb 0.0000 0.5000 0.2663
Tb 0.0000 0.5000 0.7284
Tb 0.5000 0.0000 0.7337
Sm 0.5000 0.5000 0.8000
Sm 0.0000 0.0000 0.8000
Sm 0.7511 0.7489 0.8736
Sm 0.2515 0.7515 0.9250
Sm 0.0000 0.0000 0.3260
Sm 0.2485 0.7485 0.0750
Sm 0.7729 0.2729 0.5600
Sm 0.5000 0.5000 0.3260
Sm 0.2489 0.2511 0.8736
Sm 0.7489 0.7511 0.1264
Sm 0.2673 0.2327 0.5855
Sm 0.7271 0.2271 0.4400
Sm 0.0000 0.0000 0.6740
Sm 0.2327 0.2673 0.4145
Sm 0.2511 0.2489 0.1264
Sm 0.7673 0.7327 0.4145
Sm 0.7327 0.7673 0.5855
Sm 0.0000 0.0000 0.2000
Sm 0.2271 0.7271 0.5600
Sm 0.5000 0.5000 0.6740
Sm 0.7485 0.2485 0.9250
Sm 0.5000 0.5000 0.2000
Sm 0.2729 0.7729 0.4400
Sm 0.7515 0.2515 0.0750
Th 0.5000 0.0000 0.0007
Th 0.0000 0.5000 0.9993

## Properties
- Crystal system: orthorhombic
- Formation energy: 0.174 eV per atom

---

Record 3
DFT (GGA-PBE) results for an optimized crystal structure of NdSmTm.

Cell lengths 3.5007, 5.6926, 5.6926 Å; angles 120.00, 90.00, 90.00 degrees
Atoms (fractional coordinates):
Tm 0.1659 0.3333 0.6667
Nd 0.1673 0.0000 0.0000
Sm 0.6668 0.6667 0.3333

## Properties
- Energy above the lowest structure with this stoichiometry: 51 meV/atom
- Crystal system: hexagonal
- Formation energy: 0.070 eV per atom

---

Record 4
DFT (GGA-PBE) results for an optimized crystal structure of UAl6Au12.

Cell lengths 7.5052, 7.5052, 7.5052 Å; angles 106.01, 106.01, 106.01 degrees
Atoms (fractional coordinates):
U 0.0000 0.0000 0.0000
Al 0.6928 0.2800 0.2800
Al 0.2800 0.2800 0.6928
Al 0.2800 0.6928 0.2800
Al 0.7200 0.7200 0.3072
Al 0.3072 0.7200 0.7200
Al 0.7200 0.3072 0.7200
Au 0.8807 0.1193 0.5000
Au 0.8690 0.6198 0.6198
Au 0.6198 0.6198 0.8690
Au 0.3802 0.1310 0.3802
Au 0.3802 0.3802 0.1310
Au 0.1310 0.3802 0.3802
Au 0.1193 0.5000 0.8807
Au 0.5000 0.8807 0.1193
Au 0.1193 0.8807 0.5000
Au 0.8807 0.5000 0.1193
Au 0.5000 0.1193 0.8807
Au 0.6198 0.8690 0.6198

## Properties
- Crystal system: trigonal
- Formation energy: -0.237 eV per atom

---

Record 5
DFT (GGA-PBE) results for an optimized crystal structure of RbCaAsO4.

Cell lengths 6.3919, 6.3919, 7.0694 Å; angles 90.00, 90.00, 112.16 degrees
Atoms (fractional coordinates):
Rb 0.5000 0.5000 0.5000
Rb 0.5000 0.5000 0.0000
Ca 0.8541 0.1459 0.2500
Ca 0.1459 0.8541 0.7500
As 0.1358 0.8642 0.2500
As 0.8642 0.1358 0.7500
O 0.1566 0.2197 0.7500
O 0.7803 0.8434 0.7500
O 0.7720 0.2280 0.9503
O 0.7720 0.2280 0.5497
O 0.2280 0.7720 0.0497
O 0.2280 0.7720 0.4503
O 0.8434 0.7803 0.2500
O 0.2197 0.1566 0.2500

## Properties
- Crystal system: orthorhombic

---

Record 6
DFT (GGA-PBE) results for an optimized crystal structure of BaTc2N.

Cell lengths 6.2988, 6.2988, 6.2981 Å; angles 60.00, 60.00, 90.00 degrees
Atoms (fractional coordinates):
N 0.5000 0.5000 0.0000
N 0.2500 0.7500 0.5000
Ba 0.0000 0.0000 0.0000
Ba 0.7500 0.2500 0.5000
Tc 0.3754 0.1250 0.2500
Tc 0.3746 0.6250 0.2500
Tc 0.3750 0.6246 0.7500
Tc 0.8750 0.6254 0.7500

## Properties
- Crystal system: cubic

---

Record 7
DFT (GGA-PBE) results for an optimized crystal structure of AcFeB14.

Cell lengths 5.8718, 7.5077, 7.5077 Å; angles 68.56, 66.98, 66.98 degrees
Atoms (fractional coordinates):
Ac 0.2500 0.3800 0.1200
Ac 0.7500 0.6200 0.8800
Fe 0.5000 0.0000 0.5000
Fe 0.0000 0.0000 0.5000
B 0.6647 0.3662 0.3044
B 0.3353 0.6338 0.6956
B 0.1647 0.8044 0.8662
B 0.8353 0.1956 0.1338
B 0.1285 0.2326 0.5104
B 0.8715 0.7674 0.4896
B 0.6285 0.0104 0.7326
B 0.3715 0.9896 0.2674
B 0.0851 0.0804 0.7494
B 0.9149 0.9196 0.2506
B 0.5851 0.2494 0.5804
B 0.4149 0.7506 0.4196
B 0.7172 0.6022 0.2853
B 0.6048 0.3978 0.7147
B 0.2172 0.7853 0.1022
B 0.1048 0.2147 0.8978
B 0.2828 0.3978 0.7147
B 0.3952 0.6022 0.2853
B 0.7828 0.2147 0.8978
B 0.8952 0.7853 0.1022
B 0.3259 0.9729 0.8736
B 0.1723 0.0271 0.1264
B 0.8259 0.3736 0.4729
B 0.6723 0.6264 0.5271
B 0.6741 0.0271 0.1264
B 0.8277 0.9729 0.8736
B 0.1741 0.6264 0.5271
B 0.3277 0.3736 0.4729

## Properties
- Crystal system: orthorhombic
- Formation energy: -0.093 eV per atom

---

| no. | E (eV/cell) | total moment (μB/cell) | ρ (g cm⁻³) |
| --- | --- | --- | --- |
| 1 | -27.2 | 0.00 | 7.806 |
| 2 | -141.4 | 0.00 | 7.627 |
| 3 | -13.7 | 0.00 | 7.835 |
| 4 | -77.6 | 3.07 | 12.707 |
| 5 | -82.5 | 0.00 | 3.283 |
| 6 | -59.1 | 3.87 | 6.529 |
| 7 | -215.1 | 5.73 | 5.314 |